# RbNaTm2F8 (PBE-GGA, optimized geometry)
# **ρ**: 5.559 g/cm³
# **DFT total energy**: -5.857 eV per atom
# **ΔE_f (raw)**: -3.674 eV per atom
# **Space group**: P2/m, No. 10
data_RbNaTm2F8
_cell_length_a 6.151
_cell_length_b 3.821
_cell_length_c 7.605
_cell_angle_alpha 90.00
_cell_angle_beta 90.25
_cell_angle_gamma 90.00
_symmetry_space_group_name_H-M 'P 1'
_symmetry_Int_Tables_number 1
loop_
_symmetry_equiv_pos_as_xyz
'x,y,z'
loop_
_atom_site_label
_atom_site_type_symbol
_atom_site_fract_x
_atom_site_fract_y
_atom_site_fract_z
Rb1 Rb 0.000 0.000 0.000
Na1 Na 0.000 0.000 0.500
Tm1 Tm 0.499 0.500 0.745
Tm2 Tm 0.501 0.500 0.255
F1 F 0.287 0.500 0.499
F2 F 0.295 0.000 0.737
F3 F 0.299 0.000 0.262
F4 F 0.305 0.500 0.000
F5 F 0.695 0.500 0.000
F6 F 0.701 0.000 0.738
F7 F 0.705 0.000 0.263
F8 F 0.713 0.500 0.501

=====

# Y2CuOs (PBE-GGA, optimized geometry)
# **ρ**: 8.151 g/cm³
# **DFT total energy**: -6.937 eV per atom
# **Space group**: Pmm2, No. 25
data_Y2CuOs
_cell_length_a 3.446
_cell_length_b 4.446
_cell_length_c 5.739
_cell_angle_alpha 90.00
_cell_angle_beta 90.00
_cell_angle_gamma 90.00
_symmetry_space_group_name_H-M 'P 1'
_symmetry_Int_Tables_number 1
loop_
_symmetry_equiv_pos_as_xyz
'x,y,z'
loop_
_atom_site_label
_atom_site_type_symbol
_atom_site_fract_x
_atom_site_fract_y
_atom_site_fract_z
Y1 Y 0.000 0.000 0.000
Y2 Y 0.500 0.500 0.394
Cu1 Cu 0.000 0.000 0.522
Os1 Os 0.500 0.500 0.892

=====

# Ca2CuAu2 (PBE-GGA, optimized geometry)
# **ρ**: 7.653 g/cm³
# **DFT total energy**: -3.451 eV per atom
# **Space group**: P4/mbm, No. 127
data_Ca2CuAu2
_cell_length_a 7.450
_cell_length_b 7.450
_cell_length_c 4.203
_cell_angle_alpha 90.00
_cell_angle_beta 90.00
_cell_angle_gamma 90.00
_symmetry_space_group_name_H-M 'P 1'
_symmetry_Int_Tables_number 1
loop_
_symmetry_equiv_pos_as_xyz
'x,y,z'
loop_
_atom_site_label
_atom_site_type_symbol
_atom_site_fract_x
_atom_site_fract_y
_atom_site_fract_z
Ca1 Ca 0.171 0.329 0.000
Ca2 Ca 0.329 0.829 0.000
Ca3 Ca 0.671 0.171 0.000
Ca4 Ca 0.829 0.671 0.000
Cu1 Cu 0.000 0.000 0.500
Cu2 Cu 0.500 0.500 0.500
Au1 Au 0.136 0.636 0.500
Au2 Au 0.364 0.136 0.500
Au3 Au 0.636 0.864 0.500
Au4 Au 0.864 0.364 0.500

=====

# Ac2In2Au3 (PBE-GGA, optimized geometry)
# **ρ**: 11.207 g/cm³
# **DFT total energy**: -4.031 eV per atom
# **E above lowest polymorph**: 0 meV per atom
# **Space group**: Cmcm, No. 63
data_Ac2In2Au3
_cell_length_a 10.754
_cell_length_b 10.754
_cell_length_c 7.992
_cell_angle_alpha 90.00
_cell_angle_beta 90.00
_cell_angle_gamma 155.88
_symmetry_space_group_name_H-M 'P 1'
_symmetry_Int_Tables_number 1
loop_
_symmetry_equiv_pos_as_xyz
'x,y,z'
loop_
_atom_site_label
_atom_site_type_symbol
_atom_site_fract_x
_atom_site_fract_y
_atom_site_fract_z
Ac1 Ac 0.057 0.943 0.750
Ac2 Ac 0.148 0.852 0.250
Ac3 Ac 0.852 0.148 0.750
Ac4 Ac 0.943 0.057 0.250
In1 In 0.309 0.691 0.056
In2 In 0.309 0.691 0.444
In3 In 0.691 0.309 0.556
In4 In 0.691 0.309 0.944
Au1 Au 0.228 0.772 0.750
Au2 Au 0.439 0.561 0.563
Au3 Au 0.439 0.561 0.937
Au4 Au 0.561 0.439 0.063
Au5 Au 0.561 0.439 0.437
Au6 Au 0.772 0.228 0.250

=====

# Cu2SbPt (PBE-GGA, optimized geometry)
# **ρ**: 11.797 g/cm³
# **DFT total energy**: -4.656 eV per atom
# **ΔE_f (raw)**: -0.067 eV per atom
# **Space group**: P4/mmm, No. 123
data_Cu2SbPt
_cell_length_a 3.979
_cell_length_b 3.979
_cell_length_c 3.948
_cell_angle_alpha 90.00
_cell_angle_beta 90.00
_cell_angle_gamma 90.00
_symmetry_space_group_name_H-M 'P 1'
_symmetry_Int_Tables_number 1
loop_
_symmetry_equiv_pos_as_xyz
'x,y,z'
loop_
_atom_site_label
_atom_site_type_symbol
_atom_site_fract_x
_atom_site_fract_y
_atom_site_fract_z
Cu1 Cu 0.000 0.500 0.000
Cu2 Cu 0.500 0.000 0.000
Sb1 Sb 0.000 0.000 0.500
Pt1 Pt 0.500 0.500 0.500

=====

> Among the records above, which one has the lowest ρ?

RbNaTm2F8

=====

What did the first record say?
# RbNaTm2F8 (PBE-GGA, optimized geometry)
# **ρ**: 5.559 g/cm³
# **DFT total energy**: -5.857 eV per atom
# **ΔE_f (raw)**: -3.674 eV per atom
# **Space group**: P2/m, No. 10
data_RbNaTm2F8
_cell_length_a 6.151
_cell_length_b 3.821
_cell_length_c 7.605
_cell_angle_alpha 90.00
_cell_angle_beta 90.25
_cell_angle_gamma 90.00
_symmetry_space_group_name_H-M 'P 1'
_symmetry_Int_Tables_number 1
loop_
_symmetry_equiv_pos_as_xyz
'x,y,z'
loop_
_atom_site_label
_atom_site_type_symbol
_atom_site_fract_x
_atom_site_fract_y
_atom_site_fract_z
Rb1 Rb 0.000 0.000 0.000
Na1 Na 0.000 0.000 0.500
Tm1 Tm 0.499 0.500 0.745
Tm2 Tm 0.501 0.500 0.255
F1 F 0.287 0.500 0.499
F2 F 0.295 0.000 0.737
F3 F 0.299 0.000 0.262
F4 F 0.305 0.500 0.000
F5 F 0.695 0.500 0.000
F6 F 0.701 0.000 0.738
F7 F 0.705 0.000 0.263
F8 F 0.713 0.500 0.501